(1)
Compound: Pu4Si2Ge
Source: Alexandria via LeMat-Bulk
Functional: PBE
Structure: optimized geometry

```
Pu4Si2Ge
1.0
4.8437 0.0000 0.0000
2.4219 4.1948 0.0000
2.4219 1.3983 6.9029
Pu Ge Si
4 1 2
Direct
0.4171 0.4171 0.7488 Pu
0.2501 0.2501 0.2497 Pu
0.5829 0.5829 0.2512 Pu
0.7499 0.7499 0.7503 Pu
0.0000 0.0000 0.0000 Ge
0.1168 0.1168 0.6498 Si
0.8832 0.8832 0.3502 Si
```

Summary:
**Final energy**: -10.505 eV per atom
**Formation energy (no corrections)**: -0.107 eV/atom

***

(2)
Compound: Pu3Si2Ge4
Source: Alexandria via LeMat-Bulk
Functional: PBE
Structure: optimized geometry

```
Pu3Si2Ge4
1.0
4.2801 0.0000 0.0000
-2.1401 5.2424 -1.0599
0.0000 -0.4058 8.2247
Ge Pu Si
4 3 2
Direct
0.9307 0.8614 0.6047 Ge
0.0693 0.1386 0.3953 Ge
0.2728 0.5455 0.9309 Ge
0.7272 0.4545 0.0691 Ge
0.3356 0.6711 0.3324 Pu
0.0000 0.0000 0.0000 Pu
0.6644 0.3289 0.6676 Pu
0.6018 0.2037 0.2715 Si
0.3982 0.7963 0.7285 Si
```

Summary:
**ΔE to the lowest computed polymorph**: 0 kJ/mol of formula units
**Final energy**: -8.382 eV per atom
**Formation energy (no corrections)**: -0.347 eV/atom

***

(3)
Compound: Pu5SiGe4
Source: Alexandria via LeMat-Bulk
Functional: PBE
Structure: optimized geometry

```
Pu5SiGe4
1.0
3.8569 0.0000 0.0000
0.0000 3.8569 0.0000
0.0000 0.0000 14.2507
Pu Ge Si
5 4 1
Direct
0.5000 0.5000 0.0972 Pu
0.5000 0.5000 0.9028 Pu
0.5000 0.5000 0.5000 Pu
0.5000 0.5000 0.7017 Pu
0.5000 0.5000 0.2983 Pu
0.0000 0.0000 0.5997 Ge
0.0000 0.0000 0.4003 Ge
0.0000 0.0000 0.8053 Ge
0.0000 0.0000 0.1947 Ge
0.0000 0.0000 0.0000 Si
```

Summary:
**Final energy**: -9.990 eV per atom
**Formation energy (no corrections)**: -0.435 eV/atom

***

(4)
Compound: Pu4Si3Ge
Source: Alexandria via LeMat-Bulk
Functional: PBE
Structure: optimized geometry

```
Pu4Si3Ge
1.0
-3.1649 1.1800 2.6610
-2.4627 -0.0778 -2.8946
-2.1235 -10.3990 2.0859
Pu Si Ge
4 3 1
Direct
0.5000 0.0000 0.6459 Pu
0.0000 0.0000 0.1506 Pu
0.0000 0.5000 0.8508 Pu
0.5000 0.5000 0.3539 Pu
0.5000 0.0000 0.9259 Si
0.0000 0.0000 0.4303 Si
0.0000 0.5000 0.5694 Si
0.5000 0.5000 0.0732 Ge
```

Summary:
**Final energy**: -10.173 eV per atom
**Formation energy (no corrections)**: -0.396 eV/atom

***

(5)
Compound: Pu8SiGe2
Source: Alexandria via LeMat-Bulk
Functional: PBE
Structure: optimized geometry

```
Pu8SiGe2
1.0
-2.9482 -2.4868 2.0738
4.1805 -7.0174 -2.4716
3.0284 4.9955 5.6721
Pu Ge Si
8 2 1
Direct
0.3371 0.0951 0.6743 Pu
0.1662 0.1662 0.3324 Pu
0.0000 0.7402 0.0000 Pu
0.8338 0.8338 0.6676 Pu
0.6629 0.9049 0.3257 Pu
0.3371 0.5791 0.6743 Pu
0.6629 0.4209 0.3257 Pu
0.0000 0.2598 0.0000 Pu
0.8258 0.3258 0.6515 Ge
0.1742 0.6742 0.3485 Ge
0.5000 0.0000 0.0000 Si
```

Summary:
**Final energy**: -11.948 eV per atom
**Formation energy (no corrections)**: -0.192 eV/atom

***

(6)
Compound: Pu6SiGe5
Source: Alexandria via LeMat-Bulk
Functional: PBE
Structure: optimized geometry

```
Pu6SiGe5
1.0
4.4796 -0.2746 0.7023
-0.0225 7.6985 3.1558
0.9924 1.1661 8.1272
Ge Si Pu
5 1 6
Direct
0.3319 0.8330 0.3340 Ge
0.6662 0.6654 0.6691 Ge
0.0000 0.5000 0.0000 Ge
0.3338 0.3346 0.3309 Ge
0.6681 0.1670 0.6660 Ge
0.0000 0.0000 0.0000 Si
0.8341 0.5869 0.3308 Pu
0.5000 0.7544 0.0000 Pu
0.5000 0.2456 0.0000 Pu
0.8341 0.0823 0.3308 Pu
0.1659 0.4131 0.6692 Pu
0.1659 0.9177 0.6692 Pu
```

Summary:
**Final energy**: -9.968 eV per atom
**Formation energy (no corrections)**: -0.426 eV/atom

***

(7)
Compound: PuSiGe2
Source: Alexandria via LeMat-Bulk
Functional: PBE
Structure: optimized geometry

```
PuSiGe2
1.0
3.5584 0.0000 0.0000
0.0000 3.5584 0.0000
0.0000 0.0000 6.0604
Si Pu Ge
1 1 2
Direct
0.5000 0.5000 0.0000 Si
0.5000 0.5000 0.5000 Pu
0.0000 0.0000 0.2077 Ge
0.0000 0.0000 0.7923 Ge
```

Summary:
**ΔE to the lowest computed polymorph**: 82 kJ/mol of formula units
**Final energy**: -7.361 eV per atom
**Formation energy (no corrections)**: -0.114 eV/atom

***

(8)
Compound: PuSiGe2
Source: Alexandria via LeMat-Bulk
Functional: PBE
Structure: optimized geometry

```
PuSiGe2
1.0
-0.4166 4.9209 0.9343
-4.0292 1.7639 2.4324
0.2339 1.7709 4.2961
Ge Si Pu
2 1 1
Direct
0.2367 0.2367 0.2899 Ge
0.7633 0.7633 0.7101 Ge
0.0000 0.0000 0.0000 Si
0.5000 0.5000 0.5000 Pu
```

Summary:
**ΔE to the lowest computed polymorph**: 160 kJ/mol of formula units
**Final energy**: -7.158 eV per atom
**Formation energy (no corrections)**: 0.090 eV/atom

***

(9)
Compound: PuSiGe
Source: Alexandria via LeMat-Bulk
Functional: PBE
Structure: optimized geometry

```
PuSiGe
1.0
4.1589 0.0000 0.0000
2.0794 5.3564 -0.1527
2.0794 -0.0554 5.3582
Pu Ge Si
2 2 2
Direct
0.5000 0.7479 0.2521 Pu
0.5000 0.2521 0.7479 Pu
0.1742 0.3258 0.3258 Ge
0.8258 0.6742 0.6742 Ge
0.8431 0.1569 0.1569 Si
0.1569 0.8431 0.8431 Si
```

Summary:
**ΔE to the lowest computed polymorph**: 0 kJ/mol of formula units
**Final energy**: -8.483 eV per atom
**Formation energy (no corrections)**: -0.358 eV/atom

***

(10)
Compound: Pu3Si2Ge
Source: Alexandria via LeMat-Bulk
Functional: PBE
Structure: optimized geometry

```
Pu3Si2Ge
1.0
-4.3262 -3.5637 1.1361
5.5757 -7.8553 -3.4090
3.4334 -0.8831 7.6505
Pu Ge Si
12 4 8
Direct
0.8186 0.6386 0.1631 Pu
0.3186 0.8614 0.6631 Pu
0.1814 0.3614 0.8369 Pu
0.8378 0.0376 0.6265 Pu
0.6814 0.1386 0.3369 Pu
0.7032 0.1338 0.9149 Pu
0.3378 0.4624 0.1265 Pu
0.2968 0.8662 0.0851 Pu
0.7968 0.6338 0.5851 Pu
0.2032 0.3662 0.4149 Pu
0.6622 0.5376 0.8735 Pu
0.1622 0.9624 0.3735 Pu
0.1355 0.6529 0.8808 Ge
0.8645 0.3471 0.1192 Ge
0.3645 0.1529 0.6192 Ge
0.6355 0.8471 0.3808 Ge
0.3014 0.5784 0.6294 Si
0.2321 0.1738 0.1310 Si
0.1986 0.0784 0.8706 Si
0.7679 0.8262 0.8690 Si
0.7321 0.3262 0.6310 Si
0.2679 0.6738 0.3690 Si
0.8014 0.9216 0.1294 Si
0.6986 0.4216 0.3706 Si
```

Summary:
**Final energy**: -10.036 eV per atom
**Formation energy (no corrections)**: -0.293 eV/atom

***

(11)
Compound: PuSiGe2
Source: Alexandria via LeMat-Bulk
Functional: PBE
Structure: optimized geometry

```
PuSiGe2
1.0
-1.6527 -0.1354 3.8721
-1.1514 -3.9677 -0.6302
3.6676 -1.3057 1.5197
Ge Si Pu
2 1 1
Direct
0.0000 0.5000 0.0000 Ge
0.0000 0.0000 0.5000 Ge
0.5000 0.5000 0.5000 Si
0.5000 0.0000 0.0000 Pu
```

Summary:
**ΔE to the lowest computed polymorph**: 0 kJ/mol of formula units
**Final energy**: -7.573 eV per atom
**Formation energy (no corrections)**: -0.325 eV/atom

***

(12)
Compound: Pu2Si3Ge
Source: Alexandria via LeMat-Bulk
Functional: PBE
Structure: optimized geometry

```
Pu2Si3Ge
1.0
-3.4427 -3.7245 -2.6133
4.6924 -2.6238 -1.9106
-0.5686 -0.9184 8.0205
Si Pu Ge
6 4 2
Direct
0.3281 0.8369 0.1650 Si
0.8369 0.3281 0.1650 Si
0.1631 0.6719 0.8350 Si
0.6719 0.1631 0.8350 Si
0.8368 0.8368 0.6736 Si
0.1632 0.1632 0.3264 Si
0.7500 0.2500 0.5000 Pu
0.2490 0.2490 0.0000 Pu
0.2500 0.7500 0.5000 Pu
0.7510 0.7510 0.0000 Pu
0.3336 0.3336 0.6671 Ge
0.6664 0.6664 0.3329 Ge
```

Summary:
**Final energy**: -8.683 eV per atom
**Formation energy (no corrections)**: -0.425 eV/atom

***

- Look up the formation energy (no corrections) of the ninth one.
  -0.358 eV/atom

***

- Which formula does entry 11 have?
  PuSiGe2